Entry 1:
Entry from Alexandria: a relaxed structure of KZn2Br (PBE-GGA).

Geometry as CIF:
```
data_KZn2Br
_chemical_formula_sum 'K2 Zn4 Br2'
_symmetry_space_group_name_H-M 'C 1 m 1'
_symmetry_Int_Tables_number 8
_symmetry_space_group_name_Hall 'C -2y'
_cell_length_a 7.9211
_cell_length_b 4.5611
_cell_length_c 7.0832
_cell_angle_alpha 90.00
_cell_angle_beta 90.15
_cell_angle_gamma 90.00
loop_
_atom_site_label
_atom_site_type_symbol
_atom_site_fract_x
_atom_site_fract_y
_atom_site_fract_z
K1 K 0.0000 0.0000 0.0000
Zn1 Zn 0.1664 0.5000 0.3729
Zn2 Zn 0.3334 0.0000 0.3516
Br1 Br 0.1671 0.5000 0.7508
```

V ... 32.0 Å³/atom
Uncorrected formation energy ... -0.45 eV per atom
Polymorph energy (0 for the lowest one) ... 0.013 eV per atom
Total magnetic moment ... 0.000 Bohr magnetons per cell
Fermi-level density of states ... 1.1 states/eV/f.u.



Entry 2:
Entry from Alexandria: a relaxed structure of KZnBr2 (PBE-GGA).

Geometry as CIF:
```
data_KZnBr2
_chemical_formula_sum 'K2 Zn2 Br4'
_symmetry_space_group_name_H-M 'C 1 2/m 1'
_symmetry_Int_Tables_number 12
_symmetry_space_group_name_Hall '-C 2y'
_cell_length_a 8.0782
_cell_length_b 4.5860
_cell_length_c 7.2635
_cell_angle_alpha 90.00
_cell_angle_beta 108.83
_cell_angle_gamma 90.00
loop_
_atom_site_label
_atom_site_type_symbol
_atom_site_fract_x
_atom_site_fract_y
_atom_site_fract_z
K1 K 0.0000 0.0000 0.0000
Zn1 Zn 0.0000 0.5000 0.5000
Br1 Br 0.2493 0.0000 0.7104
```

V ... 31.8 Å³/atom
Uncorrected formation energy ... -0.84 eV per atom
Polymorph energy (0 for the lowest one) ... 0.125 eV per atom
Total magnetic moment ... 0.000 Bohr magnetons per cell
Fermi-level density of states ... 2.8 states/eV/f.u.



Entry 3:
Entry from Alexandria: a relaxed structure of KZnBr2 (PBE-GGA).

Geometry as CIF:
```
data_KZnBr2
_chemical_formula_sum 'K3 Zn3 Br6'
_symmetry_space_group_name_H-M 'R -3 m'
_symmetry_Int_Tables_number 166
_symmetry_space_group_name_Hall '-R 3 2"'
_cell_length_a 4.8522
_cell_length_b 4.8522
_cell_length_c 25.9777
_cell_angle_alpha 90.00
_cell_angle_beta 90.00
_cell_angle_gamma 120.00
loop_
_atom_site_label
_atom_site_type_symbol
_atom_site_fract_x
_atom_site_fract_y
_atom_site_fract_z
K1 K 0.0000 0.0000 0.0000
Zn1 Zn 0.0000 0.0000 0.5000
Br1 Br 0.0000 0.0000 0.4022
```

V ... 44.1 Å³/atom
Uncorrected formation energy ... -0.80 eV per atom
Polymorph energy (0 for the lowest one) ... 0.160 eV per atom
Total magnetic moment ... 0.000 Bohr magnetons per cell
Fermi-level density of states ... 3.4 states/eV/f.u.



Entry 4:
Entry from Alexandria: a relaxed structure of KZnBr3 (PBE-GGA).

Geometry as CIF:
```
data_KZnBr3
_chemical_formula_sum 'K4 Zn4 Br12'
_symmetry_space_group_name_H-M 'P 1 21/c 1'
_symmetry_Int_Tables_number 14
_symmetry_space_group_name_Hall '-P 2ybc'
_cell_length_a 6.9645
_cell_length_b 7.8481
_cell_length_c 14.8761
_cell_angle_alpha 90.00
_cell_angle_beta 111.26
_cell_angle_gamma 90.00
loop_
_atom_site_label
_atom_site_type_symbol
_atom_site_fract_x
_atom_site_fract_y
_atom_site_fract_z
K1 K 0.2119 0.0841 0.1657
Zn1 Zn 0.4286 0.6759 0.0505
Br1 Br 0.0837 0.7329 0.0374
Br2 Br 0.3357 0.1259 0.8428
Br3 Br 0.4587 0.6248 0.8896
```

V ... 37.9 Å³/atom
Uncorrected formation energy ... -1.23 eV per atom
Polymorph energy (0 for the lowest one) ... 0.000 eV per atom
Total magnetic moment ... 0.000 Bohr magnetons per cell
Fermi-level density of states ... 0.0 states/eV/f.u.



Entry 5:
Entry from Alexandria: a relaxed structure of K5ZnBr8 (PBE-GGA).

Geometry as CIF:
```
data_K5ZnBr8
_chemical_formula_sum 'K10 Zn2 Br16'
_symmetry_space_group_name_H-M 'I -4'
_symmetry_Int_Tables_number 82
_symmetry_space_group_name_Hall 'I -4'
_cell_length_a 9.6978
_cell_length_b 9.6978
_cell_length_c 11.2917
_cell_angle_alpha 90.00
_cell_angle_beta 90.00
_cell_angle_gamma 90.00
loop_
_atom_site_label
_atom_site_type_symbol
_atom_site_fract_x
_atom_site_fract_y
_atom_site_fract_z
K1 K 0.0000 0.0000 0.0000
K2 K 0.1340 0.7271 0.6162
Zn1 Zn 0.0000 0.5000 0.2500
Br1 Br 0.0419 0.7349 0.3282
Br2 Br 0.0993 0.6997 0.9076
```

V ... 37.9 Å³/atom
Uncorrected formation energy ... -1.33 eV per atom
Total magnetic moment ... 2.496 Bohr magnetons per cell
Fermi-level density of states ... 15.5 states/eV/f.u.



Entry 6:
Entry from Alexandria: a relaxed structure of KZnBr2 (PBE-GGA).

Geometry as CIF:
```
data_KZnBr2
_chemical_formula_sum 'K4 Zn4 Br8'
_symmetry_space_group_name_H-M 'F -4 3 m'
_symmetry_Int_Tables_number 216
_symmetry_space_group_name_Hall 'F -4 2 3'
_cell_length_a 7.8938
_cell_length_b 7.8938
_cell_length_c 7.8938
_cell_angle_alpha 90.00
_cell_angle_beta 90.00
_cell_angle_gamma 90.00
loop_
_atom_site_label
_atom_site_type_symbol
_atom_site_fract_x
_atom_site_fract_y
_atom_site_fract_z
K1 K 0.0000 0.0000 0.0000
Zn1 Zn 0.2500 0.2500 0.2500
Br1 Br 0.0000 0.0000 0.5000
Br2 Br 0.2500 0.2500 0.7500
```

V ... 30.7 Å³/atom
Uncorrected formation energy ... -0.44 eV per atom
Polymorph energy (0 for the lowest one) ... 0.519 eV per atom
Total magnetic moment ... 2.278 Bohr magnetons per cell
Fermi-level density of states ... 4.1 states/eV/f.u.



Entry 7:
Entry from Alexandria: a relaxed structure of KZnBr2 (PBE-GGA).

Geometry as CIF:
```
data_KZnBr2
_chemical_formula_sum 'K4 Zn4 Br8'
_symmetry_space_group_name_H-M 'I -4 2 d'
_symmetry_Int_Tables_number 122
_symmetry_space_group_name_Hall 'I -4 2bw'
_cell_length_a 6.5722
_cell_length_b 6.5722
_cell_length_c 15.0484
_cell_angle_alpha 90.00
_cell_angle_beta 90.00
_cell_angle_gamma 90.00
loop_
_atom_site_label
_atom_site_type_symbol
_atom_site_fract_x
_atom_site_fract_y
_atom_site_fract_z
K1 K 0.0000 0.0000 0.0000
Zn1 Zn 0.0000 0.0000 0.5000
Br1 Br 0.1730 0.2500 0.6250
```

V ... 40.6 Å³/atom
Uncorrected formation energy ... -0.90 eV per atom
Polymorph energy (0 for the lowest one) ... 0.066 eV per atom
Total magnetic moment ... 0.000 Bohr magnetons per cell
Fermi-level density of states ... 0.1 states/eV/f.u.



Entry 8:
Entry from Alexandria: a relaxed structure of KZr2Br (PBE-GGA).

Geometry as CIF:
```
data_KZr2Br
_chemical_formula_sum 'K2 Zr4 Br2'
_symmetry_space_group_name_H-M 'I m m 2'
_symmetry_Int_Tables_number 44
_symmetry_space_group_name_Hall 'I 2 -2'
_cell_length_a 3.2509
_cell_length_b 7.0178
_cell_length_c 11.3302
_cell_angle_alpha 90.00
_cell_angle_beta 90.00
_cell_angle_gamma 90.00
loop_
_atom_site_label
_atom_site_type_symbol
_atom_site_fract_x
_atom_site_fract_y
_atom_site_fract_z
K1 K 0.0000 0.0000 0.0000
Zr1 Zr 0.0000 0.0000 0.4508
Zr2 Zr 0.0000 0.5000 0.1624
Br1 Br 0.0000 0.5000 0.7522
```

V ... 32.3 Å³/atom
Uncorrected formation energy ... 0.27 eV per atom
Polymorph energy (0 for the lowest one) ... 0.512 eV per atom
Total magnetic moment ... 0.000 Bohr magnetons per cell
Fermi-level density of states ... 1.0 states/eV/f.u.



Number 1: E_tot -1.78 eV/atom. Number 2: E_tot -2.27 eV/atom. Number 3: E_tot -2.23 eV/atom. Number 4: E_tot -2.71 eV/atom. Number 5: E_tot -2.77 eV/atom. Number 6: E_tot -1.87 eV/atom. Number 7: E_tot -2.33 eV/atom. Number 8: E_tot -4.69 eV/atom.